[1]
3
Lattice="6.932 0.024 0.000 5.581 4.113 0.000 -6.257 -2.068 2.153" Properties=species:S:1:pos:R:3 comment="ReHgSe | the Alexandria database | PBE | optimized geometry" polymorph_energy_mev_per_atom=100 space_group="I4mm, No. 107" e_form_raw_ev_per_atom=0.38 pbc="T T T"
Re 3.947 1.305 0.000
Se 8.911 2.946 0.000
Hg 12.169 4.022 0.000

***

[2]
10
Lattice="5.948 0.000 0.000 0.000 5.948 0.000 0.000 0.000 2.788" Properties=species:S:1:pos:R:3 comment="Tc2NiC2 | the Alexandria database | PBE | optimized geometry" delta_e_f_ev_per_atom=0.5481 polymorph_energy_mev_per_atom=80 space_group="P4/mbm, No. 127" pbc="T T T"
Ni 2.974 2.974 0.000
C 0.898 2.076 0.000
Tc 5.048 2.074 1.394
Ni 0.000 0.000 0.000
Tc 2.074 0.900 1.394
C 3.872 0.898 0.000
C 2.076 5.050 0.000
Tc 3.874 5.048 1.394
C 5.050 3.872 0.000
Tc 0.900 3.874 1.394

***

[3]
7
Lattice="-0.629 -5.226 3.644 -3.004 -2.986 -4.801 5.315 -6.875 -3.318" Properties=species:S:1:pos:R:3 comment="Sr4Cd2In | the Alexandria database | PBE | optimized geometry" delta_e_f_ev_per_atom=-0.0451 polymorph_energy_mev_per_atom=248 space_group="I4/mmm, No. 139" pbc="T T T"
Cd 2.184 -10.471 -3.392
Sr -0.784 -9.318 -2.252
Sr 2.465 -5.768 -2.223
Sr -0.315 -2.613 1.822
In 0.000 0.000 0.000
Cd -0.502 -4.616 -1.084
Sr -1.502 -1.493 -2.401

***

[4]
2
Lattice="5.917 -0.027 -0.016 5.011 3.146 -0.016 5.011 1.430 2.802" Properties=species:S:1:pos:R:3 comment="KSi | the Alexandria database | PBE | optimized geometry" polymorph_energy_mev_per_atom=822 space_group="R-3m, No. 166" e_form_raw_ev_per_atom=0.75 pbc="T T T"
Si 7.970 2.275 1.385
K 0.000 0.000 0.000

***

| no. | spin magnetization (μB per formula unit) | total energy (eV per atom) | ρ (g/cm³) |
| --- | --- | --- | --- |
| 1 | 0.0 | -5.03 | 12.66 |
| 2 | 0.0 | -8.44 | 9.38 |
| 3 | 0.0 | -1.66 | 3.44 |
| 4 | 0.0 | -2.51 | 2.11 |